Record 1
Compound: YMn3Te
Source: Alexandria via LeMat-Bulk
Functional: PBE
Structure: relaxed

abc: 4.8616 4.8616 4.8616
angles: 90.00 90.00 90.00
Closest atoms and distances in Å follow each position.
Fractional coordinates of all 5 atoms:
Y1 0.5000 0.5000 0.5000  12 Mn 3.44
Te1 0.0000 0.0000 0.0000  6 Mn 2.43
Mn1 0.0000 0.5000 0.0000  2 Te 2.43
Mn2 0.0000 0.0000 0.5000  2 Te 2.43
Mn3 0.5000 0.0000 0.0000  2 Te 2.43

Values from the calculation:
- Fermi-level density of states: 4.34 states/eV/cell
- Final energy: -6.79 eV/atom
- M_tot: 8.70 μB/cell
- Energy above the lowest structure with this stoichiometry: 0.0 kJ per mole of atoms
- E_form (uncorrected): 629 meV/atom
- Crystal system: cubic


Record 2
Compound: YMnTe3
Source: Alexandria via LeMat-Bulk
Functional: PBE
Structure: relaxed

abc: 5.1003 5.1003 5.1003
angles: 90.00 90.00 90.00
Closest atoms and distances in Å follow each position.
Fractional coordinates of all 5 atoms:
Y1 0.5000 0.5000 0.5000  12 Te 3.61
Te1 0.0000 0.5000 0.0000  2 Mn 2.55
Te2 0.0000 0.0000 0.5000  2 Mn 2.55
Te3 0.5000 0.0000 0.0000  2 Mn 2.55
Mn1 0.0000 0.0000 0.0000  6 Te 2.55

Values from the calculation:
- Fermi-level density of states: 10.45 states/eV/cell
- Final energy: -5.02 eV/atom
- M_tot: 0.00 μB/cell
- Energy above the lowest structure with this stoichiometry: 71.1 kJ per mole of atoms
- E_form (uncorrected): -4 meV/atom
- Crystal system: cubic


Record 3
Compound: Y2MnTe
Source: Alexandria via LeMat-Bulk
Functional: PBE
Structure: relaxed

abc: 5.2251 5.2251 3.6762
angles: 90.00 90.00 89.86
Closest atoms and distances in Å follow each position.
Fractional coordinates of all 4 atoms:
Mn1 0.5000 0.0000 0.5000  8 Y 3.19
Te1 0.0000 0.5000 0.5000  8 Y 3.19
Y1 0.0000 0.0000 0.0000  4 Te 3.19, 4 Mn 3.19
Y2 0.5000 0.5000 0.0000  4 Mn 3.19, 4 Te 3.19

Values from the calculation:
- Fermi-level density of states: 4.30 states/eV/cell
- Final energy: -6.67 eV/atom
- M_tot: 2.75 μB/cell
- E_form (uncorrected): -357 meV/atom
- Crystal system: orthorhombic


Record 4
Compound: Y2MnTe
Source: Alexandria via LeMat-Bulk
Functional: PBE
Structure: relaxed

abc: 6.9870 6.9870 6.9870
angles: 36.09 36.09 36.09
Closest atoms and distances in Å follow each position.
Fractional coordinates of all 4 atoms:
Mn1 0.4404 0.4404 0.4404  3 Te 2.57
Te1 0.8038 0.8038 0.8038  3 Mn 2.57
Y1 0.0281 0.0281 0.0281  3 Mn 2.94, 3 Te 3.29
Y2 0.2278 0.2278 0.2278  3 Te 3.07

Values from the calculation:
- Fermi-level density of states: 5.44 states/eV/cell
- Final energy: -6.48 eV/atom
- M_tot: 2.64 μB/cell
- E_form (uncorrected): -166 meV/atom
- Crystal system: trigonal


Record 5
Compound: Y2MnTe4
Source: Alexandria via LeMat-Bulk
Functional: PBE
Structure: relaxed

abc: 8.8084 8.8084 8.8105
angles: 59.98 59.98 89.95
Closest atoms and distances in Å follow each position.
Fractional coordinates of all 14 atoms:
Y1 0.5000 0.5000 0.5000  6 Te 3.09
Y2 0.5000 0.0000 0.5000  6 Te 3.09
Y3 0.0000 0.0000 0.0000  6 Te 3.09
Y4 0.5000 0.0000 0.0000  6 Te 3.09
Mn1 0.8750 0.6250 0.7500  4 Te 2.74
Mn2 0.1250 0.3750 0.2500  4 Te 2.74
Te1 0.2523 0.7559 0.9959  1 Mn 2.74
Te2 0.7477 0.2441 0.0041  1 Mn 2.74
Te3 0.2559 0.7523 0.4959  1 Mn 2.74
Te4 0.2520 0.2483 0.5039  1 Mn 2.74
Te5 0.2517 0.2480 0.9961  1 Mn 2.74
Te6 0.7480 0.7517 0.4961  1 Mn 2.74
Te7 0.7441 0.2477 0.5041  1 Mn 2.74
Te8 0.7483 0.7520 0.0039  1 Mn 2.74

Values from the calculation:
- Fermi-level density of states: 0.35 states/eV/cell
- Final energy: -5.99 eV/atom
- M_tot: 10.00 μB/cell
- E_form (uncorrected): -1039 meV/atom
- Crystal system: tetragonal


Record 6
Compound: Y2MnTe
Source: Alexandria via LeMat-Bulk
Functional: PBE
Structure: relaxed

abc: 5.6068 5.6068 5.6068
angles: 130.31 130.22 72.98
Closest atoms and distances in Å follow each position.
Fractional coordinates of all 4 atoms:
Mn1 0.7500 0.2500 0.5000  8 Y 3.26, 4 Te 3.33
Te1 0.2500 0.7500 0.5000  8 Y 3.26, 4 Mn 3.33
Y1 0.0001 0.0001 0.0000  4 Te 3.26, 4 Mn 3.26, 4 Y 3.33
Y2 0.4999 0.4999 0.0000  4 Te 3.26, 4 Mn 3.26, 4 Y 3.33

Values from the calculation:
- Fermi-level density of states: 2.74 states/eV/cell
- Final energy: -6.59 eV/atom
- M_tot: 2.95 μB/cell
- E_form (uncorrected): -276 meV/atom
- Crystal system: tetragonal


Record 7
Compound: MnZn2Te
Source: Alexandria via LeMat-Bulk
Functional: PBE
Structure: relaxed

abc: 5.3266 5.3266 4.0625
angles: 85.87 85.87 43.80
Closest atoms and distances in Å follow each position.
Fractional coordinates of all 4 atoms:
Mn1 0.7500 0.7500 0.7500  2 Zn 2.69, 4 Te 2.84
Te1 0.2500 0.2500 0.2500  2 Zn 2.81, 4 Mn 2.84
Zn1 0.0034 0.0034 0.9467  2 Zn 2.55, 1 Mn 2.69, 1 Te 2.81
Zn2 0.4966 0.4966 0.5533  2 Zn 2.55, 1 Mn 2.69, 1 Te 2.81

Values from the calculation:
- Fermi-level density of states: 1.99 states/eV/cell
- Final energy: -3.53 eV/atom
- M_tot: 3.87 μB/cell
- E_form (uncorrected): 190 meV/atom
- Crystal system: monoclinic


Record 8
Compound: MnZn2Te
Source: Alexandria via LeMat-Bulk
Functional: PBE
Structure: relaxed

abc: 5.7037 5.7037 5.7037
angles: 139.97 140.28 57.66
Closest atoms and distances in Å follow each position.
Fractional coordinates of all 4 atoms:
Mn1 0.7500 0.2500 0.5000  4 Te 2.75
Te1 0.2500 0.7500 0.5000  4 Mn 2.75
Zn1 0.0006 0.0006 0.0000  4 Zn 2.75
Zn2 0.4994 0.4994 0.0000  4 Zn 2.75

Values from the calculation:
- Fermi-level density of states: 1.75 states/eV/cell
- Final energy: -3.49 eV/atom
- M_tot: 3.85 μB/cell
- E_form (uncorrected): 224 meV/atom
- Crystal system: orthorhombic


- Among the records above, which one has the highest E_form (uncorrected)?
  YMn3Te


- Number 6 is which compound?
  Y2MnTe


- The lowest E_form (uncorrected) belongs to which entry?
  Y2MnTe4


- Look up the E_form (uncorrected) of the fifth one.
  -1039 meV/atom